A relaxed structure of Y2Cu2Sb. Source: Alexandria, functional PBE.

a b c (Å): 5.0043 5.0043 9.6196
angles (deg): 90.00 90.00 90.00
With the nearest neighbours (Å) after each atom.
Space group I4/mmm (No. 139)
One atom of each set of equivalent atoms:
Y 0.0000 0.5000 0.2500 [4 per cell]  4 Cu 2.81
Cu 0.0000 0.0000 0.1174 [4 per cell]  1 Cu 2.26
Sb 0.0000 0.0000 0.5000 [2 per cell]  8 Y 3.47, 10 Cu 3.68-3.71

Properties
- Theoretical density: 5.88 g cm⁻³
- M_tot: 0.00 Bohr magnetons per cell
- N(E_F): 0.73 states/eV/atom
- Energy above the most stable polymorph in this dataset: 393 meV per atom
- ΔE_f (raw): -140.9 meV/atom